Record 1
Compound: Cd2In5
Source: Alexandria via LeMat-Bulk
Functional: PBE-GGA
Structure: optimized geometry

Space-group type ... C2/c, No. 15
Energy of formation ... 0.035 eV/atom
Spin magnetization ... 0.00 μB/f.u.
Distance to the lowest polymorph of the same formula ... 0 meV/atom

Lattice parameters (Å, degrees): 3.2336 6.8004 16.9436 95.68 95.48 90.00
Closest atoms and distances in Å follow each position.
Atoms (fractional coordinates):
Cd: 0.8653 0.6813 0.7209  6 In 3.06-3.25, 4 Cd 3.23-3.40
Cd: 0.1444 0.8187 0.2791  6 In 3.06-3.25, 4 Cd 3.23-3.40
Cd: 0.1347 0.3187 0.2791  6 In 3.06-3.25, 4 Cd 3.23-3.40
Cd: 0.8556 0.1813 0.7209  6 In 3.06-3.25, 4 Cd 3.23-3.40
In: 0.2154 0.6075 0.4309  2 Cd 3.06-3.07, 8 In 3.23-3.40
In: 0.7845 0.8925 0.5691  2 Cd 3.06-3.07, 8 In 3.23-3.40
In: 0.7846 0.3925 0.5691  2 Cd 3.06-3.07, 8 In 3.23-3.40
In: 0.2155 0.1075 0.4309  2 Cd 3.06-3.07, 8 In 3.23-3.40
In: 0.0023 0.2500 0.0000  12 In 3.23-3.40
In: 0.9977 0.7500 0.0000  12 In 3.23-3.40
In: 0.5739 0.5348 0.1454  4 Cd 3.23-3.25, 8 In 3.23-3.40
In: 0.4284 0.9652 0.8546  4 Cd 3.23-3.25, 8 In 3.23-3.40
In: 0.4261 0.4652 0.8546  4 Cd 3.23-3.25, 8 In 3.23-3.40
In: 0.5716 0.0348 0.1454  4 Cd 3.23-3.25, 8 In 3.23-3.40


Record 2
Compound: La2Nd5
Source: Alexandria via LeMat-Bulk
Functional: PBE-GGA
Structure: optimized geometry

Space-group type ... C2/m, No. 12
Energy of formation ... 0.016 eV/atom
Spin magnetization ... 0.00 μB/f.u.
Distance to the lowest polymorph of the same formula ... 0 meV/atom

Lattice parameters (Å, degrees): 6.4139 6.4139 9.7947 70.79 123.24 131.70
Closest atoms and distances in Å follow each position.
Atoms (fractional coordinates):
La: 0.4286 0.2139 0.1425  10 Nd 3.70-3.71, 2 La 3.70
La: 0.5714 0.7861 0.8575  10 Nd 3.70-3.71, 2 La 3.70
Nd: 0.1392 0.0722 0.7114  8 Nd 3.66-3.72, 4 La 3.71
Nd: 0.8608 0.9278 0.2886  8 Nd 3.66-3.72, 4 La 3.71
Nd: 0.2851 0.6426 0.4277  9 Nd 3.68-3.72, 3 La 3.70-3.71
Nd: 0.7149 0.3574 0.5723  9 Nd 3.68-3.72, 3 La 3.70-3.71
Nd: 0.0000 0.5000 0.0000  6 Nd 3.69-3.72, 6 La 3.70


Record 3
Compound: YReBr3
Source: Alexandria via LeMat-Bulk
Functional: PBE-GGA
Structure: optimized geometry

Space-group type ... Pm-3m, No. 221
Energy relative to the elements, uncorrected ... 2.2 eV/f.u.
Spin magnetization ... 0.00 μB/f.u.
Distance to the lowest polymorph of the same formula ... 318 meV/atom

Lattice parameters (Å, degrees): 5.0471 5.0471 5.0471 90.00 90.00 90.00
Closest atoms and distances in Å follow each position.
Atoms (fractional coordinates):
Y: 0.5000 0.5000 0.5000  12 Br 3.57
Re: 0.0000 0.0000 0.0000  6 Br 2.52
Br: 0.0000 0.5000 0.0000  2 Re 2.52
Br: 0.0000 0.0000 0.5000  2 Re 2.52
Br: 0.5000 0.0000 0.0000  2 Re 2.52


Record 4
Compound: Pr4SmHo2Mg
Source: Alexandria via LeMat-Bulk
Functional: PBE-GGA
Structure: optimized geometry

Space-group type ... Pmmm, No. 47
Energy of formation ... 0.053 eV/atom
Spin magnetization ... 0.00 μB/f.u.

Lattice parameters (Å, degrees): 5.8133 5.8217 9.7586 53.36 90.00 90.00
Closest atoms and distances in Å follow each position.
Atoms (fractional coordinates):
Pr: 0.0000 0.7632 0.7366  4 Ho 3.45-3.57, 2 Mg 3.45, 2 Sm 3.56, 1 Pr 3.71
Pr: 0.0000 0.2368 0.2634  4 Ho 3.45-3.57, 2 Mg 3.45, 2 Sm 3.56, 1 Pr 3.71
Pr: 0.5000 0.7351 0.2650  2 Mg 3.44, 4 Ho 3.44-3.57, 2 Sm 3.57-3.58, 1 Pr 3.68
Pr: 0.5000 0.2649 0.7350  2 Mg 3.44, 4 Ho 3.44-3.57, 2 Sm 3.57-3.58, 1 Pr 3.68
Sm: 0.5000 0.5000 0.0000  8 Pr 3.56-3.58, 2 Ho 3.91
Ho: 0.0000 0.0000 0.0000  8 Pr 3.57, 2 Mg 3.91-3.92
Ho: 0.5000 0.0000 0.5000  8 Pr 3.44-3.45
Mg: 0.0000 0.5000 0.5000  8 Pr 3.44-3.45


Record 5
Compound: Pr4OsAuCl2
Source: Alexandria via LeMat-Bulk
Functional: PBE-GGA
Structure: optimized geometry

Space-group type ... P2/m, No. 10
Energy relative to the elements, uncorrected ... -7.7 eV/f.u.
Spin magnetization ... 0.00 μB/f.u.

Lattice parameters (Å, degrees): 4.2119 7.3776 7.9530 108.18 90.00 90.00
Closest atoms and distances in Å follow each position.
Atoms (fractional coordinates):
Pr: 0.5000 0.2633 0.2121  1 Os 2.78, 2 Au 3.00
Pr: 0.5000 0.7367 0.7879  1 Os 2.78, 2 Au 3.00
Pr: 0.0000 0.2746 0.7917  2 Os 2.87, 1 Au 2.99
Pr: 0.0000 0.7254 0.2083  2 Os 2.87, 1 Au 2.99
Os: 0.5000 0.5000 0.0000  6 Pr 2.78-2.87
Au: 0.0000 0.0000 0.0000  6 Pr 2.99-3.00
Cl: 0.5000 0.0000 0.5000  6 Pr 3.32-3.43
Cl: 0.0000 0.5000 0.5000  6 Pr 3.20-3.25


Record 6
Compound: BiSe
Source: Alexandria via LeMat-Bulk
Functional: PBE-GGA
Structure: optimized geometry

Space-group type ... C2/m, No. 12
Energy relative to the elements, uncorrected ... -0.1 eV/f.u.
Spin magnetization ... 0.00 μB/f.u.
Distance to the lowest polymorph of the same formula ... 259 meV/atom

Lattice parameters (Å, degrees): 4.2437 4.2437 17.6288 86.67 86.67 90.00
Closest atoms and distances in Å follow each position.
Atoms (fractional coordinates):
Bi: 0.7274 0.7274 0.5928  5 Se 2.93-3.02
Bi: 0.2726 0.2726 0.4072  5 Se 2.93-3.02
Se: 0.2324 0.2324 0.5740  5 Bi 2.93-3.02
Se: 0.7676 0.7676 0.4260  5 Bi 2.93-3.02